Here is a relaxed TeAuCl2 crystal from the Alexandria database. Energies are from GGA-PBE.

Properties
Its symmetry is No. 99. Its total magnetization is 0.00 μB per atom. The formation energy (no corrections) is 0.1077 eV per atom.

Cell lengths 3.421, 3.421, 8.558 Å; angles 90.00, 90.00, 90.00 degrees
Sites, in units of the cell vectors:
Te: 0.000 0.000 0.531
Cl: 0.500 0.500 0.313
Cl: 0.000 0.000 0.920
Au: 0.500 0.500 0.736